Material: AcPuCuRu
Method: DFT, PBE
State: relaxed

a = 7.1653 Å, b = 7.1653 Å, c = 7.1653 Å
α = 90.00°, β = 90.00°, γ = 90.00°
Space group F-43m (No. 216)
One atom of each set of equivalent atoms:
Ac: 0.0000 0.0000 0.0000
Pu: 0.0000 0.0000 0.5000
Cu: 0.2500 0.2500 0.7500
Ru: 0.2500 0.2500 0.2500

Results
E_tot	-7.888	eV/atom
Fermi-level density of states	13.1	states/eV/f.u.
spin magnetization	21.40	μB/cell

Material: Ac2PuCu2S6
Method: DFT, PBE
State: relaxed

a = 7.0907 Å, b = 7.0907 Å, c = 19.5756 Å
α = 90.00°, β = 90.00°, γ = 120.00°
Space group R-3m (No. 166, hexagonal axes)
One atom of each set of equivalent atoms:
Ac: 0.0000 0.0000 0.2087
Pu: 0.0000 0.0000 0.0000
Cu: 0.0000 0.0000 0.4287
S: 0.0212 0.5106 0.7604

Results
Fermi-level density of states	9.7	states/eV/f.u.
spin magnetization	11.99	μB/cell
raw formation energy	-1197	meV per atom

Material: AcPuCuS4
Method: DFT, PBE
State: relaxed

a = 6.6354 Å, b = 5.9393 Å, c = 8.1812 Å
α = 90.00°, β = 107.47°, γ = 90.00°
Space group P2_1/m (No. 11)
One atom of each set of equivalent atoms:
Ac: 0.2391 0.2500 0.4352
Pu: 0.2517 0.2500 0.9422
Cu: 0.2598 0.7500 0.1818
S: 0.0662 0.7500 0.9044
S: 0.0722 0.7500 0.3744
S: 0.4819 0.5132 0.7650

Results
Fermi-level density of states	10.7	states/eV/f.u.
spin magnetization	9.15	μB/cell
raw formation energy	-1408	meV per atom

Material: AcPuCuSb
Method: DFT, PBE
State: relaxed

a = 7.6753 Å, b = 7.6753 Å, c = 7.6753 Å
α = 90.00°, β = 90.00°, γ = 90.00°
Space group F-43m (No. 216)
One atom of each set of equivalent atoms:
Ac: 0.0000 0.0000 0.0000
Pu: 0.0000 0.0000 0.5000
Cu: 0.2500 0.2500 0.7500
Sb: 0.2500 0.2500 0.2500

Results
Fermi-level density of states	11.1	states/eV/f.u.
spin magnetization	27.96	μB/cell
raw formation energy	-305	meV per atom

What is the formula in the second record?
Ac2PuCu2S6